No. 1
A relaxed SnPNO2 crystal, computed with PBE.

abc: 3.853 3.853 5.768
angles: 90.00 90.00 90.00
Space group P4/mmm (No. 123)
Unique sites:
Sn1 0.000 0.000 0.000 [1 per cell]
P1 0.000 0.000 0.500 [1 per cell]
N1 0.500 0.500 0.500 [1 per cell]
O1 0.000 0.500 0.000 [2 per cell]

calculated volume: 17.12 A^3/atom
total DFT energy (no corrections): -4.712 eV/atom

No. 2
A relaxed SnPNO2 crystal, computed with PBE.

abc: 4.248 4.248 3.458
angles: 90.00 90.00 90.00
Space group P4/mmm (No. 123)
Unique sites:
Sn1 0.000 0.000 0.000 [1 per cell]
P1 0.500 0.500 0.000 [1 per cell]
N1 0.500 0.500 0.500 [1 per cell]
O1 0.000 0.500 0.500 [2 per cell]

calculated volume: 12.48 A^3/atom
total DFT energy (no corrections): -4.819 eV/atom

No. 3
A relaxed SnP2NO crystal, computed with PBE.

abc: 5.072 5.072 3.866
angles: 90.00 90.00 90.00
Space group P4/mmm (No. 123)
Unique sites:
Sn1 0.000 0.000 0.000 [1 per cell]
P1 0.000 0.500 0.000 [2 per cell]
N1 0.500 0.500 0.500 [1 per cell]
O1 0.000 0.000 0.500 [1 per cell]

calculated volume: 19.89 A^3/atom
total DFT energy (no corrections): -3.952 eV/atom

No. 4
A relaxed SnPNO2 crystal, computed with PBE.

abc: 3.967 3.967 4.250
angles: 90.00 90.00 90.00
Space group P4/mmm (No. 123)
Unique sites:
Sn1 0.000 0.000 0.000 [1 per cell]
P1 0.500 0.500 0.500 [1 per cell]
N1 0.000 0.000 0.500 [1 per cell]
O1 0.000 0.500 0.000 [2 per cell]

calculated volume: 13.38 A^3/atom
total DFT energy (no corrections): -5.068 eV/atom

No. 5
A relaxed SnPNO2 crystal, computed with PBE.

abc: 3.673 3.673 3.775
angles: 90.00 90.00 90.00
Space group P4/mmm (No. 123)
Unique sites:
Sn1 0.000 0.000 0.000 [1 per cell]
P1 0.500 0.500 0.500 [1 per cell]
N1 0.500 0.500 0.000 [1 per cell]
O1 0.000 0.500 0.500 [2 per cell]

calculated volume: 10.19 A^3/atom
total DFT energy (no corrections): -5.945 eV/atom

No. 6
A relaxed SnP2NO crystal, computed with PBE.

abc: 3.921 3.921 4.420
angles: 90.00 90.00 90.00
Space group P4/mmm (No. 123)
Unique sites:
Sn1 0.000 0.000 0.000 [1 per cell]
P1 0.000 0.500 0.500 [2 per cell]
N1 0.500 0.500 0.500 [1 per cell]
O1 0.500 0.500 0.000 [1 per cell]

calculated volume: 13.59 A^3/atom
total DFT energy (no corrections): -4.793 eV/atom